Entry 1:
Compound: LiGdIr
Source: OQMD via LeMat-Bulk
Functional: PBE
Structure: relaxed

POSCAR file:
```
LiGdIr
1.0
6.0788 0.0000 0.0000
0.0000 6.0788 0.0000
0.0000 0.0000 6.0788
Li Gd Ir
4 4 4
direct
0.0000 0.0000 0.0000 Li
0.0000 0.5000 0.5000 Li
0.5000 0.0000 0.5000 Li
0.5000 0.5000 0.0000 Li
0.2500 0.2500 0.7500 Gd
0.2500 0.7500 0.2500 Gd
0.7500 0.2500 0.2500 Gd
0.7500 0.7500 0.7500 Gd
0.2500 0.2500 0.2500 Ir
0.2500 0.7500 0.7500 Ir
0.7500 0.2500 0.7500 Ir
0.7500 0.7500 0.2500 Ir
```

## Properties
- distance to the lowest polymorph of the same formula (eV per atom) = 0.000


Entry 2:
Compound: Cu7Ag
Source: OQMD via LeMat-Bulk
Functional: PBE
Structure: relaxed

POSCAR file:
```
Cu7Ag
1.0
4.5172 0.0000 0.0000
-0.7594 4.4560 0.0000
-1.5244 -0.2676 5.0141
Cu Ag
7 1
direct
0.0000 0.0000 0.0000 Cu
0.0000 0.4993 0.7599 Cu
0.0000 0.5007 0.2401 Cu
0.4897 0.7467 0.1175 Cu
0.4991 0.7387 0.6302 Cu
0.5009 0.2613 0.3698 Cu
0.5103 0.2533 0.8825 Cu
0.0000 0.0000 0.5000 Ag
```

## Properties
- distance to the lowest polymorph of the same formula (eV per atom) = 0.008


Entry 3:
Compound: LiNbNi2
Source: OQMD via LeMat-Bulk
Functional: PBE
Structure: relaxed

POSCAR file:
```
LiNbNi2
1.0
5.8361 0.0000 0.0000
0.0000 5.8361 0.0000
0.0000 0.0000 5.8361
Li Nb Ni
4 4 8
direct
0.0000 0.0000 0.0000 Li
0.0000 0.5000 0.5000 Li
0.5000 0.0000 0.5000 Li
0.5000 0.5000 0.0000 Li
0.2500 0.2500 0.7500 Nb
0.2500 0.7500 0.2500 Nb
0.7500 0.2500 0.2500 Nb
0.7500 0.7500 0.7500 Nb
0.0000 0.0000 0.5000 Ni
0.0000 0.5000 0.0000 Ni
0.2500 0.2500 0.2500 Ni
0.2500 0.7500 0.7500 Ni
0.5000 0.0000 0.0000 Ni
0.5000 0.5000 0.5000 Ni
0.7500 0.2500 0.7500 Ni
0.7500 0.7500 0.2500 Ni
```

## Properties
- DFT total energy (eV per atom) = -5.70


Entry 4:
Compound: LuReTe2
Source: OQMD via LeMat-Bulk
Functional: PBE
Structure: relaxed

POSCAR file:
```
LuReTe2
1.0
7.1324 0.0000 0.0000
0.0000 7.1324 0.0000
0.0000 0.0000 7.1324
Lu Re Te
4 4 8
direct
0.0000 0.0000 0.0000 Lu
0.0000 0.5000 0.5000 Lu
0.5000 0.0000 0.5000 Lu
0.5000 0.5000 0.0000 Lu
0.2500 0.2500 0.7500 Re
0.2500 0.7500 0.2500 Re
0.7500 0.2500 0.2500 Re
0.7500 0.7500 0.7500 Re
0.0000 0.0000 0.5000 Te
0.0000 0.5000 0.0000 Te
0.2500 0.2500 0.2500 Te
0.2500 0.7500 0.7500 Te
0.5000 0.0000 0.0000 Te
0.5000 0.5000 0.5000 Te
0.7500 0.2500 0.7500 Te
0.7500 0.7500 0.2500 Te
```

## Properties
- DFT total energy (eV per atom) = -5.29


Record order is preserved below.
Ρ: 10.54, 9.09, 7.26, 11.28 Mg/m³